Record 1
A plane-wave DFT calculation with PBE was carried out for an optimized crystal structure of LaCoAs2.

```
LaCoAs2
1.0
4.389 0.000 0.000
0.000 4.379 0.000
-0.043 0.000 4.573
La Co As
1 1 2
Direct
0.000 0.000 0.000
0.624 0.500 0.352
0.111 0.500 0.504
0.502 0.000 0.504
```

* formation energy from the elements: -617 meV per atom
* crystal system: monoclinic
* E: -23.800 eV/cell

Record 2
A plane-wave DFT calculation with PBE was carried out for an optimized crystal structure of LaCoAs2.

```
LaCoAs2
1.0
-2.100 2.100 4.700
2.100 -2.100 4.700
2.100 2.100 -4.700
La Co As
1 1 2
Direct
0.000 0.000 0.000
0.750 0.250 0.500
0.250 0.750 0.500
0.500 0.500 0.000
```

* formation energy from the elements: -213 meV per atom
* crystal system: tetragonal
* E: -22.185 eV/cell

Record 3
A plane-wave DFT calculation with PBE was carried out for an optimized crystal structure of LaCoAs2.

```
LaCoAs2
1.0
2.038 -3.009 0.000
2.038 3.009 0.000
0.000 0.000 6.847
La Co As
1 1 2
Direct
0.000 0.000 0.000
0.000 0.000 0.500
0.500 0.500 0.308
0.500 0.500 0.692
```

* formation energy from the elements: -396 meV per atom
* crystal system: orthorhombic
* E: -22.915 eV/cell

Record 4
A plane-wave DFT calculation with PBE was carried out for an optimized crystal structure of LaCoAs2.

```
LaCoAs2
1.0
0.000 3.443 3.443
3.443 0.000 3.443
3.443 3.443 0.000
La Co As
1 1 2
Direct
0.000 0.000 0.000
0.500 0.500 0.500
0.250 0.250 0.250
0.750 0.750 0.750
```

* formation energy from the elements: -292 meV per atom
* crystal system: cubic
* E: -22.500 eV/cell

Record 5
A plane-wave DFT calculation with PBE was carried out for an optimized crystal structure of LaCoAs2.

```
LaCoAs2
1.0
0.000 3.429 3.429
3.429 0.000 3.429
3.429 3.429 0.000
La Co As
1 1 2
Direct
0.000 0.000 0.000
0.750 0.750 0.750
0.250 0.250 0.250
0.500 0.500 0.500
```

* formation energy from the elements: -86 meV per atom
* crystal system: cubic
* E: -21.676 eV/cell

Record 6
A plane-wave DFT calculation with PBE was carried out for an optimized crystal structure of LaCoAs2.

```
LaCoAs2
1.0
4.426 0.000 0.000
0.000 4.426 0.000
0.000 0.000 4.169
La Co As
1 1 2
Direct
0.000 0.000 0.000
0.500 0.500 0.000
0.000 0.500 0.500
0.500 0.000 0.500
```

* formation energy from the elements: -286 meV per atom
* crystal system: tetragonal
* E: -22.477 eV/cell